Record 1
# VCdRh2S PBE optimized geometry
# - raw formation energy (eV/atom) = 1.562
data_VCdRh2S
_chemical_formula_sum 'V1 Cd1 Rh2 S1'
_space_group_name_H-M_alt 'P 1'
_space_group_IT_number 1
_space_group_name_Hall 'P 1'
_cell_length_a 4.9285
_cell_length_b 4.9285
_cell_length_c 4.6918
_cell_angle_alpha 90.00
_cell_angle_beta 90.00
_cell_angle_gamma 90.00
loop_
_atom_site_label
_atom_site_fract_x
_atom_site_fract_y
_atom_site_fract_z
V1 0.0000 0.0000 0.0000
Cd1 0.5000 0.5000 0.5000
Rh1 0.0000 0.5000 0.5000
Rh2 0.5000 0.0000 0.5000
S1 0.5000 0.5000 0.0000

=====

Record 2
# CdAu PBE optimized geometry
# - energy relative to the elements (eV per atom) = -0.02
data_CdAu
_chemical_formula_sum 'Cd4 Au4'
_space_group_name_H-M_alt 'P 1'
_space_group_IT_number 1
_space_group_name_Hall 'P 1'
_cell_length_a 7.7106
_cell_length_b 7.7106
_cell_length_c 7.7106
_cell_angle_alpha 92.15
_cell_angle_beta 92.15
_cell_angle_gamma 157.66
loop_
_atom_site_label
_atom_site_fract_x
_atom_site_fract_y
_atom_site_fract_z
Cd1 0.1159 0.3482 0.4642
Cd2 0.3482 0.8841 0.2323
Cd3 0.6518 0.1159 0.7677
Cd4 0.8841 0.6518 0.5359
Au1 0.0786 0.8327 0.9113
Au2 0.1673 0.0786 0.2459
Au3 0.8327 0.9214 0.7541
Au4 0.9214 0.1673 0.0887

=====

Record 3
# AsCF2 PBE optimized geometry
# - raw formation energy (eV/atom) = 0.613
# - ΔE to the lowest computed polymorph (meV per atom) = 0
data_AsCF2
_chemical_formula_sum 'As1 C1 F2'
_space_group_name_H-M_alt 'P 1'
_space_group_IT_number 1
_space_group_name_Hall 'P 1'
_cell_length_a 7.6084
_cell_length_b 7.6084
_cell_length_c 7.6084
_cell_angle_alpha 20.81
_cell_angle_beta 20.81
_cell_angle_gamma 20.81
loop_
_atom_site_label
_atom_site_fract_x
_atom_site_fract_y
_atom_site_fract_z
As1 0.0000 0.0000 0.0000
C1 0.5000 0.5000 0.5000
F1 0.4165 0.4165 0.4165
F2 0.5835 0.5835 0.5835

=====

Record 4
# SmCdHg4 PBE optimized geometry
# - ΔE to the lowest computed polymorph (meV per atom) = 125
# - energy relative to the elements (eV per atom) = -0.05
data_SmCdHg4
_chemical_formula_sum 'Sm1 Cd1 Hg4'
_space_group_name_H-M_alt 'P 1'
_space_group_IT_number 1
_space_group_name_Hall 'P 1'
_cell_length_a 6.0104
_cell_length_b 6.0104
_cell_length_c 6.0104
_cell_angle_alpha 60.00
_cell_angle_beta 60.00
_cell_angle_gamma 60.00
loop_
_atom_site_label
_atom_site_fract_x
_atom_site_fract_y
_atom_site_fract_z
Sm1 0.0000 0.0000 0.0000
Cd1 0.7500 0.7500 0.7500
Hg1 0.3749 0.3749 0.3749
Hg2 0.3749 0.3749 0.8753
Hg3 0.3749 0.8753 0.3749
Hg4 0.8753 0.3749 0.3749

=====

Record 5
# SrSmAgPt PBE optimized geometry
# - energy relative to the elements (eV per atom) = -0.56
data_SrSmAgPt
_chemical_formula_sum 'Sr1 Sm1 Ag1 Pt1'
_space_group_name_H-M_alt 'P 1'
_space_group_IT_number 1
_space_group_name_Hall 'P 1'
_cell_length_a 5.2150
_cell_length_b 5.2150
_cell_length_c 5.2150
_cell_angle_alpha 60.00
_cell_angle_beta 60.00
_cell_angle_gamma 60.00
loop_
_atom_site_label
_atom_site_fract_x
_atom_site_fract_y
_atom_site_fract_z
Sr1 0.0000 0.0000 0.0000
Sm1 0.5000 0.5000 0.5000
Ag1 0.2500 0.2500 0.2500
Pt1 0.7500 0.7500 0.7500

=====

Record 6
# Y2Tm2Al3 PBE optimized geometry
# - ΔE to the lowest computed polymorph (meV per atom) = 5
# - energy relative to the elements (eV per atom) = -0.28
data_Y2Tm2Al3
_chemical_formula_sum 'Y2 Tm2 Al3'
_space_group_name_H-M_alt 'P 1'
_space_group_IT_number 1
_space_group_name_Hall 'P 1'
_cell_length_a 15.1321
_cell_length_b 15.1321
_cell_length_c 3.4041
_cell_angle_alpha 90.00
_cell_angle_beta 90.00
_cell_angle_gamma 167.14
loop_
_atom_site_label
_atom_site_fract_x
_atom_site_fract_y
_atom_site_fract_z
Y1 0.0668 0.9332 0.0000
Y2 0.9332 0.0668 0.0000
Tm1 0.1983 0.8017 0.0000
Tm2 0.8017 0.1983 0.0000
Al1 0.3651 0.6349 0.5000
Al2 0.5000 0.5000 0.5000
Al3 0.6349 0.3651 0.5000

=====

Record 7
# NaPm2SbS6 PBE optimized geometry
# - raw formation energy (eV/atom) = -1.205
data_NaPm2SbS6
_chemical_formula_sum 'Na2 Pm4 Sb2 S12'
_space_group_name_H-M_alt 'P 1'
_space_group_IT_number 1
_space_group_name_Hall 'P 1'
_cell_length_a 6.6695
_cell_length_b 7.2849
_cell_length_c 11.3417
_cell_angle_alpha 90.00
_cell_angle_beta 121.92
_cell_angle_gamma 90.00
loop_
_atom_site_label
_atom_site_fract_x
_atom_site_fract_y
_atom_site_fract_z
Na1 0.0000 0.0000 0.0000
Na2 0.0000 0.5000 0.5000
Pm1 0.1962 0.0929 0.7399
Pm2 0.1962 0.4071 0.2399
Pm3 0.8038 0.5929 0.7601
Pm4 0.8038 0.9071 0.2601
Sb1 0.5000 0.0000 0.5000
Sb2 0.5000 0.5000 0.0000
S1 0.1382 0.1745 0.4457
S2 0.1382 0.3255 0.9457
S3 0.2492 0.7057 0.4168
S4 0.2492 0.7943 0.9168
S5 0.4155 0.0666 0.2618
S6 0.4155 0.4334 0.7618
S7 0.5845 0.5666 0.2382
S8 0.5845 0.9334 0.7382
S9 0.7508 0.2057 0.0832
S10 0.7508 0.2943 0.5832
S11 0.8618 0.6745 0.0543
S12 0.8618 0.8255 0.5543

=====

Record 8
# InH2Se3 PBE optimized geometry
# - raw total energy (eV per atom) = -3.394
data_InH2Se3
_chemical_formula_sum 'In2 H4 Se6'
_space_group_name_H-M_alt 'P 1'
_space_group_IT_number 1
_space_group_name_Hall 'P 1'
_cell_length_a 7.4144
_cell_length_b 7.4144
_cell_length_c 6.4635
_cell_angle_alpha 90.00
_cell_angle_beta 90.00
_cell_angle_gamma 58.19
loop_
_atom_site_label
_atom_site_fract_x
_atom_site_fract_y
_atom_site_fract_z
In1 0.1418 0.8582 0.5000
In2 0.8582 0.1418 0.0000
H1 0.3414 0.4044 0.3395
H2 0.4044 0.3414 0.8395
H3 0.5956 0.6586 0.3395
H4 0.6586 0.5956 0.8395
Se1 0.1078 0.5574 0.3200
Se2 0.2130 0.7870 0.8987
Se3 0.4426 0.8922 0.3200
Se4 0.5574 0.1078 0.8200
Se5 0.7870 0.2130 0.3987
Se6 0.8922 0.4426 0.8200

=====

Record 9
# KPm2HoSe4 PBE optimized geometry
# - raw formation energy (eV/atom) = -1.718
data_KPm2HoSe4
_chemical_formula_sum 'K1 Pm2 Ho1 Se4'
_space_group_name_H-M_alt 'P 1'
_space_group_IT_number 1
_space_group_name_Hall 'P 1'
_cell_length_a 7.3563
_cell_length_b 4.1764
_cell_length_c 7.3869
_cell_angle_alpha 90.00
_cell_angle_beta 108.56
_cell_angle_gamma 90.00
loop_
_atom_site_label
_atom_site_fract_x
_atom_site_fract_y
_atom_site_fract_z
K1 0.0000 0.0000 0.0000
Pm1 0.5000 0.0000 0.5000
Pm2 0.5000 0.5000 0.0000
Ho1 0.0000 0.5000 0.5000
Se1 0.2451 0.0000 0.7371
Se2 0.2580 0.5000 0.2672
Se3 0.7420 0.5000 0.7328
Se4 0.7549 0.0000 0.2629

=====

Record 10
# ScC7 PBE optimized geometry
# - energy relative to the elements (eV per atom) = 3.34
data_ScC7
_chemical_formula_sum 'Sc1 C7'
_space_group_name_H-M_alt 'P 1'
_space_group_IT_number 1
_space_group_name_Hall 'P 1'
_cell_length_a 4.5920
_cell_length_b 4.5920
_cell_length_c 4.5920
_cell_angle_alpha 60.00
_cell_angle_beta 60.00
_cell_angle_gamma 60.00
loop_
_atom_site_label
_atom_site_fract_x
_atom_site_fract_y
_atom_site_fract_z
Sc1 0.0000 0.0000 0.0000
C1 0.0000 0.0000 0.5000
C2 0.0000 0.5000 0.0000
C3 0.0000 0.5000 0.5000
C4 0.5000 0.0000 0.0000
C5 0.5000 0.0000 0.5000
C6 0.5000 0.5000 0.0000
C7 0.5000 0.5000 0.5000

=====

Record 11
# Mg3Ta3TiN8 PBE optimized geometry
# - raw formation energy (eV/atom) = -1.096
data_Mg3Ta3TiN8
_chemical_formula_sum 'Mg3 Ta3 Ti1 N8'
_space_group_name_H-M_alt 'P 1'
_space_group_IT_number 1
_space_group_name_Hall 'P 1'
_cell_length_a 6.2247
_cell_length_b 6.2247
_cell_length_c 6.2247
_cell_angle_alpha 58.97
_cell_angle_beta 58.97
_cell_angle_gamma 58.97
loop_
_atom_site_label
_atom_site_fract_x
_atom_site_fract_y
_atom_site_fract_z
Mg1 0.0000 0.5000 0.5000
Mg2 0.5000 0.0000 0.5000
Mg3 0.5000 0.5000 0.0000
Ta1 0.0000 0.0000 0.5000
Ta2 0.0000 0.5000 0.0000
Ta3 0.5000 0.0000 0.0000
Ti1 0.5000 0.5000 0.5000
N1 0.2459 0.7382 0.7382
N2 0.2476 0.2476 0.2476
N3 0.2618 0.2618 0.7541
N4 0.2618 0.7541 0.2618
N5 0.7382 0.2459 0.7382
N6 0.7382 0.7382 0.2459
N7 0.7524 0.7524 0.7524
N8 0.7541 0.2618 0.2618

=====

Record 12
# HfCuPt PBE optimized geometry
# - ΔE to the lowest computed polymorph (meV per atom) = 45
# - energy relative to the elements (eV per atom) = -0.72
data_HfCuPt
_chemical_formula_sum 'Hf2 Cu2 Pt2'
_space_group_name_H-M_alt 'P 1'
_space_group_IT_number 1
_space_group_name_Hall 'P 1'
_cell_length_a 3.8004
_cell_length_b 3.8004
_cell_length_c 7.0264
_cell_angle_alpha 90.10
_cell_angle_beta 90.10
_cell_angle_gamma 90.01
loop_
_atom_site_label
_atom_site_fract_x
_atom_site_fract_y
_atom_site_fract_z
Hf1 0.2500 0.2500 0.1620
Hf2 0.7500 0.7500 0.8380
Cu1 0.2502 0.7498 0.5000
Cu2 0.7498 0.2502 0.5000
Pt1 0.2500 0.2500 0.7728
Pt2 0.7500 0.7500 0.2272